No. 1
Compound: CsRb3Hf
Source: the Alexandria database
Functional: PBE
Structure: optimized geometry

The structure in POSCAR format:
```
CsRb3Hf
1.0
7.5285 0.0000 0.0000
0.0000 7.5285 0.0000
0.0000 0.0000 7.5285
Cs Rb Hf
1 3 1
Cartesian
0.0000 0.0000 0.0000
0.0000 0.0000 3.7643
0.0000 3.7643 0.0000
3.7643 0.0000 0.0000
3.7643 3.7643 3.7643
```

Calculated values
The crystal system is cubic. For the energy of formation from the pure elements, the calculation gives 1.42 eV per atom.

=====

No. 2
Compound: Pb2W2Se
Source: the Alexandria database
Functional: PBE
Structure: optimized geometry

The structure in POSCAR format:
```
Pb2W2Se
1.0
-2.1707 2.1707 6.3632
2.1707 -2.1707 6.3632
2.1707 2.1707 -6.3632
Pb W Se
2 2 1
Cartesian
2.1707 0.0000 3.1816
0.0000 2.1707 3.1816
0.0000 0.0000 1.1637
0.0000 0.0000 11.5626
0.0000 0.0000 6.3632
```

Calculated values
The crystal system is tetragonal. As for the uncorrected formation energy: 1.36 eV per atom.

=====

No. 3
Compound: SrGd2Zr
Source: the Alexandria database
Functional: PBE
Structure: optimized geometry

The structure in POSCAR format:
```
SrGd2Zr
1.0
1.7669 1.0201 12.3404
-1.7669 1.0201 12.3404
0.0000 -2.0402 12.3404
Sr Gd Zr
1 2 1
Cartesian
0.0000 0.0000 0.0000
0.0000 0.0000 3.5576
0.0000 0.0000 33.4635
0.0000 0.0000 18.5106
```

Calculated values
The crystal system is trigonal. For the energy of formation from the pure elements, the calculation gives 0.26 eV per atom.

=====

No. 4
Compound: Be2AlCu2
Source: the Alexandria database
Functional: PBE
Structure: optimized geometry

The structure in POSCAR format:
```
Be2AlCu2
1.0
6.4816 0.0000 0.0000
0.0000 6.4816 0.0000
0.0000 0.0000 2.6131
Be Al Cu
4 2 4
Cartesian
0.7595 2.4813 0.0000
2.4813 5.7221 0.0000
4.0003 0.7595 0.0000
5.7221 4.0003 0.0000
0.0000 0.0000 0.0000
3.2408 3.2408 0.0000
1.1474 4.3882 1.3065
2.0934 1.1474 1.3065
4.3882 5.3342 1.3065
5.3342 2.0934 1.3065
```

Calculated values
The crystal system is tetragonal. For the energy of formation from the pure elements, the calculation gives -0.05 eV per atom.

=====

No. 5
Compound: Ni2PdW
Source: the Alexandria database
Functional: PBE
Structure: optimized geometry

The structure in POSCAR format:
```
Ni2PdW
1.0
2.7181 0.0000 0.0000
0.0000 2.7181 0.0000
0.0000 0.0000 7.2337
Ni Pd W
2 1 1
Cartesian
0.0000 0.0000 1.7557
0.0000 0.0000 5.4780
1.3590 1.3590 3.6168
1.3590 1.3590 0.0000
```

Calculated values
The crystal system is tetragonal. For the energy of formation from the pure elements, the calculation gives -0.01 eV per atom.

=====

No. 6
Compound: Be2BCl
Source: the Alexandria database
Functional: PBE
Structure: optimized geometry

The structure in POSCAR format:
```
Be2BCl
1.0
-2.4633 2.4633 4.2945
2.4633 -2.4633 4.2945
2.4633 2.4633 -4.2945
Be B Cl
4 2 2
Cartesian
3.6949 1.0160 -1.0736
1.0160 1.2316 1.0736
-1.2316 1.4473 3.2209
1.4473 1.2316 5.3681
0.0000 0.0000 0.0000
0.0000 2.4633 2.1472
2.4633 0.0000 2.1472
0.0000 0.0000 4.2945
```

Calculated values
The crystal system is tetragonal. As for the uncorrected formation energy: 0.46 eV per atom.

=====

No. 7
Compound: Ga2OsPd
Source: the Alexandria database
Functional: PBE
Structure: optimized geometry

The structure in POSCAR format:
```
Ga2OsPd
1.0
3.1012 0.0000 0.0000
0.0000 3.1012 0.0000
0.0000 0.0000 6.0365
Ga Os Pd
2 1 1
Cartesian
0.0000 0.0000 1.4322
0.0000 0.0000 4.6043
1.5506 1.5506 0.0000
1.5506 1.5506 3.0182
```

Calculated values
The crystal system is tetragonal. For the energy of formation from the pure elements, the calculation gives -0.27 eV per atom.

=====

No. 8
Compound: CaCuAu2
Source: the Alexandria database
Functional: PBE
Structure: optimized geometry

The structure in POSCAR format:
```
CaCuAu2
1.0
3.8853 -2.2500 0.0000
3.8853 2.2500 0.0000
-2.6104 0.0000 4.8493
Ca Cu Au
1 1 2
Cartesian
0.0000 0.0000 0.0000
2.5801 0.0000 2.4246
-0.0108 0.0000 3.0891
5.1710 0.0000 1.7602
```

Calculated values
The crystal system is monoclinic. For the energy of formation from the pure elements, the calculation gives -0.44 eV per atom.

=====

No. 9
Compound: BaNi3Sb
Source: the Alexandria database
Functional: PBE
Structure: optimized geometry

The structure in POSCAR format:
```
BaNi3Sb
1.0
4.8411 0.0000 0.0000
0.0000 4.8411 0.0000
0.0000 0.0000 4.8411
Ba Ni Sb
1 3 1
Cartesian
0.0000 0.0000 0.0000
0.0000 2.4206 2.4206
2.4206 0.0000 2.4206
2.4206 2.4206 0.0000
2.4206 2.4206 2.4206
```

Calculated values
The crystal system is cubic. As for the uncorrected formation energy: 0.16 eV per atom.

=====

No. 10
Compound: Hf2USn
Source: the Alexandria database
Functional: PBE
Structure: optimized geometry

The structure in POSCAR format:
```
Hf2USn
1.0
3.6522 0.0000 0.0000
0.0000 3.6522 0.0000
0.0000 0.0000 6.6718
Hf U Sn
2 1 1
Cartesian
0.0000 0.0000 1.6641
0.0000 0.0000 5.0078
1.8261 1.8261 0.0000
1.8261 1.8261 3.3359
```

Calculated values
The crystal system is tetragonal. For the energy of formation from the pure elements, the calculation gives 0.06 eV per atom.

=====

No. 11
Compound: Pm4Ag2Rh
Source: the Alexandria database
Functional: PBE
Structure: optimized geometry

The structure in POSCAR format:
```
Pm4Ag2Rh
1.0
-2.7180 2.7180 7.4018
2.7180 -2.7180 7.4018
2.7180 2.7180 -7.4018
Pm Ag Rh
4 2 1
Cartesian
2.7180 0.0000 0.0000
0.0000 0.0000 2.8087
0.0000 2.7180 0.0000
0.0000 0.0000 11.9950
0.0000 0.0000 5.7804
0.0000 0.0000 9.0233
0.0000 0.0000 0.0000
```

Calculated values
The crystal system is tetragonal. For the energy of formation from the pure elements, the calculation gives -0.15 eV per atom.

=====

no.,energy above the most stable polymorph in this dataset (meV/atom),magnetization (μB/f.u.)
1,432.3,4.02
2,415.8,0.00
3,110.1,14.82
4,0.0,0.00
5,0.0,0.00
6,0.0,0.00
7,0.0,0.00
8,65.3,0.00
9,0.0,0.67
10,100.8,2.12
11,111.6,0.00